The following is a DFT calculation (PBE) of crystalline TcSb3Br at its relaxed geometry.

Cell lengths 5.417, 5.417, 5.417 Å; angles 90.00, 90.00, 90.00 degrees
Last column: magnetic moment on the atom in μB.
Atoms (fractional coordinates):
Sb  0.000  0.500  0.000  -0.13
Sb  0.000  0.000  0.500  -0.10
Sb  0.500  0.000  0.000  -0.07
Tc  0.500  0.500  0.500  3.44
Br  0.000  0.000  0.000  -0.04

N(E_F) in states/eV/f.u.: 4.774
Total magnetic moment in μB/f.u.: 3.21
Formation energy without anion corrections in eV/atom: 1.59
E above lowest polymorph in meV per atom: 1299